Below is crystalline ScPd2Pb at its relaxed geometry, with properties calculated at the PBE-GGA level.

Values from the calculation:
Energy (eV/atom): -5.6663
DFT formation energy (meV/atom): -560
Crystal system: tetragonal
V (A^3/atom): 19.051

a = 4.4990 Å, b = 4.4990 Å, c = 3.7649 Å
α = 90.00°, β = 90.00°, γ = 90.00°
Space group P4/mmm (No. 123)
One atom of each set of equivalent atoms:
Sc  0.0000  0.0000  0.0000
Pd  0.0000  0.5000  0.5000
Pb  0.5000  0.5000  0.0000

=====

Below is crystalline ScPd2Pb at its relaxed geometry, with properties calculated at the PBE-GGA level.

Values from the calculation:
Energy (eV/atom): -5.1733
DFT formation energy (meV/atom): -67
Crystal system: orthorhombic
V (A^3/atom): 21.073

a = 3.1690 Å, b = 4.9755 Å, c = 10.6922 Å
α = 90.00°, β = 90.00°, γ = 90.00°
Space group Immm (No. 71)
One atom of each set of equivalent atoms:
Sc  0.0000  0.0000  0.0000
Pd  0.0000  0.0000  0.2352
Pb  0.0000  0.0000  0.5000

=====

Below is crystalline ScPd15Pb4 at its relaxed geometry, with properties calculated at the PBE-GGA level.

Values from the calculation:
Energy (eV/atom): -5.3553
DFT formation energy (meV/atom): -402
Crystal system: tetragonal
V (A^3/atom): 17.109

a = 4.0905 Å, b = 4.0905 Å, c = 20.4499 Å
α = 90.00°, β = 90.00°, γ = 90.00°
Space group P4/mmm (No. 123)
One atom of each set of equivalent atoms:
Sc  0.0000  0.0000  0.0000
Pd  0.0000  0.5000  0.0954
Pd  0.0000  0.5000  0.2978
Pd  0.0000  0.5000  0.5000
Pd  0.5000  0.5000  0.0000
Pd  0.5000  0.5000  0.1975
Pd  0.5000  0.5000  0.3989
Pb  0.0000  0.0000  0.1968
Pb  0.0000  0.0000  0.3989

=====

Below is crystalline SmScPdPb at its relaxed geometry, with properties calculated at the PBE-GGA level.

Values from the calculation:
Energy (eV/atom): -5.5434
DFT formation energy (meV/atom): -555
Crystal system: cubic
V (A^3/atom): 23.873

a = 7.2556 Å, b = 7.2556 Å, c = 7.2556 Å
α = 90.00°, β = 90.00°, γ = 90.00°
Space group F-43m (No. 216)
One atom of each set of equivalent atoms:
Sm  0.0000  0.0000  0.0000
Sc  0.0000  0.0000  0.5000
Pd  0.2500  0.2500  0.7500
Pb  0.2500  0.2500  0.2500

=====

Below is crystalline TbScPdPb at its relaxed geometry, with properties calculated at the PBE-GGA level.

Values from the calculation:
Energy (eV/atom): -5.5449
DFT formation energy (meV/atom): -579
Crystal system: cubic
V (A^3/atom): 23.208

a = 7.1876 Å, b = 7.1876 Å, c = 7.1876 Å
α = 90.00°, β = 90.00°, γ = 90.00°
Space group F-43m (No. 216)
One atom of each set of equivalent atoms:
Tb  0.0000  0.0000  0.0000
Sc  0.0000  0.0000  0.5000
Pd  0.2500  0.2500  0.7500
Pb  0.2500  0.2500  0.2500

=====

Below is crystalline YScPdPb at its relaxed geometry, with properties calculated at the PBE-GGA level.

Values from the calculation:
Energy (eV/atom): -6.0157
DFT formation energy (meV/atom): -591
Crystal system: cubic
V (A^3/atom): 23.096

a = 7.1761 Å, b = 7.1761 Å, c = 7.1761 Å
α = 90.00°, β = 90.00°, γ = 90.00°
Space group F-43m (No. 216)
One atom of each set of equivalent atoms:
Y  0.0000  0.0000  0.0000
Sc  0.0000  0.0000  0.5000
Pd  0.2500  0.2500  0.7500
Pb  0.2500  0.2500  0.2500

=====

Below is crystalline ZrScPdPb at its relaxed geometry, with properties calculated at the PBE-GGA level.

Values from the calculation:
Energy (eV/atom): -6.3525
DFT formation energy (meV/atom): -407
Crystal system: cubic
V (A^3/atom): 21.210

a = 6.9751 Å, b = 6.9751 Å, c = 6.9751 Å
α = 90.00°, β = 90.00°, γ = 90.00°
Space group F-43m (No. 216)
One atom of each set of equivalent atoms:
Zr  0.0000  0.0000  0.0000
Sc  0.0000  0.0000  0.5000
Pd  0.2500  0.2500  0.2500
Pb  0.2500  0.2500  0.7500

=====

Below is crystalline Pd3Pb2Se2 at its relaxed geometry, with properties calculated at the PBE-GGA level.

Values from the calculation:
Energy (eV/atom): -4.6871
Crystal system: trigonal
V (A^3/atom): 22.220

a = 6.0412 Å, b = 6.0412 Å, c = 14.7635 Å
α = 90.00°, β = 90.00°, γ = 120.00°
Space group R-3m (No. 166, hexagonal axes)
One atom of each set of equivalent atoms:
Pd  0.0000  0.5000  0.0000
Pb  0.0000  0.0000  0.0000
Pb  0.0000  0.0000  0.5000
Se  0.0000  0.0000  0.2136

=====

Below is crystalline Pd5PbSe2 at its relaxed geometry, with properties calculated at the PBE-GGA level.

Values from the calculation:
Energy (eV/atom): -4.8707
Crystal system: tetragonal
V (A^3/atom): 19.664

a = 4.0842 Å, b = 4.0842 Å, c = 18.8614 Å
α = 90.00°, β = 90.00°, γ = 90.00°
Space group I4/mmm (No. 139)
One atom of each set of equivalent atoms:
Pd  0.0000  0.0000  0.0000
Pd  0.0000  0.5000  0.1110
Pb  0.0000  0.0000  0.5000
Se  0.0000  0.0000  0.1879

=====

Below is crystalline PdPb2Se2 at its relaxed geometry, with properties calculated at the PBE-GGA level.

Values from the calculation:
Energy (eV/atom): -4.2711
Crystal system: monoclinic
V (A^3/atom): 26.568

a = 6.2705 Å, b = 6.2689 Å, c = 13.8721 Å
α = 90.00°, β = 102.99°, γ = 90.00°
Space group C2/c (No. 15)
One atom of each set of equivalent atoms:
Pd  0.0000  0.1253  0.2500
Pb  0.1821  0.1248  0.6134
Se  0.1947  0.3749  0.1384

=====

Below is crystalline PdPb3Se at its relaxed geometry, with properties calculated at the PBE-GGA level.

Values from the calculation:
Energy (eV/atom): -3.4543
Crystal system: cubic
V (A^3/atom): 35.610

a = 5.6258 Å, b = 5.6258 Å, c = 5.6258 Å
α = 90.00°, β = 90.00°, γ = 90.00°
Space group Pm-3m (No. 221)
One atom of each set of equivalent atoms:
Pd  0.0000  0.0000  0.0000
Pb  0.0000  0.5000  0.5000
Se  0.5000  0.5000  0.5000

=====

Below is crystalline Pd2PbSe at its relaxed geometry, with properties calculated at the PBE-GGA level.

Values from the calculation:
Energy (eV/atom): -4.5498
Crystal system: trigonal
V (A^3/atom): 21.086

a = 4.1227 Å, b = 4.1227 Å, c = 17.1896 Å
α = 90.00°, β = 90.00°, γ = 120.00°
Space group R3m (No. 160, hexagonal axes)
One atom of each set of equivalent atoms:
Pd  0.0000  0.0000  0.0000
Pd  0.0000  0.0000  0.1780
Pb  0.0000  0.0000  0.7571
Se  0.0000  0.0000  0.5796

=====

Below is crystalline PdPbSe3 at its relaxed geometry, with properties calculated at the PBE-GGA level.

Values from the calculation:
Energy (eV/atom): -3.8584
Crystal system: cubic
V (A^3/atom): 25.126

a = 5.0084 Å, b = 5.0084 Å, c = 5.0084 Å
α = 90.00°, β = 90.00°, γ = 90.00°
Space group Pm-3m (No. 221)
One atom of each set of equivalent atoms:
Pd  0.0000  0.0000  0.0000
Pb  0.5000  0.5000  0.5000
Se  0.0000  0.0000  0.5000

=====

Below is crystalline Pd2PbSe at its relaxed geometry, with properties calculated at the PBE-GGA level.

Values from the calculation:
Energy (eV/atom): -4.6040
Crystal system: tetragonal
V (A^3/atom): 23.452

a = 4.8848 Å, b = 4.8848 Å, c = 15.7254 Å
α = 90.00°, β = 90.00°, γ = 90.00°
Space group I-42d (No. 122)
One atom of each set of equivalent atoms:
Pd  0.1621  0.2500  0.1250
Pb  0.0000  0.0000  0.5000
Se  0.0000  0.0000  0.0000

=====

Below is crystalline PdPb2Se2 at its relaxed geometry, with properties calculated at the PBE-GGA level.

Values from the calculation:
Energy (eV/atom): -4.1226
Crystal system: tetragonal
V (A^3/atom): 25.508

a = 7.6165 Å, b = 7.6165 Å, c = 4.3971 Å
α = 90.00°, β = 90.00°, γ = 90.00°
Space group P4/mbm (No. 127)
One atom of each set of equivalent atoms:
Pd  0.0000  0.0000  0.0000
Pb  0.1558  0.3442  0.5000
Se  0.1741  0.6741  0.0000

=====

Below is crystalline Pd4PbSe2 at its relaxed geometry, with properties calculated at the PBE-GGA level.

Values from the calculation:
Energy (eV/atom): -4.7150
Crystal system: tetragonal
V (A^3/atom): 18.775

a = 8.4530 Å, b = 8.4530 Å, c = 3.6787 Å
α = 90.00°, β = 90.00°, γ = 90.00°
Space group P4_2/mnm (No. 136)
One atom of each set of equivalent atoms:
Pd  0.0567  0.3126  0.0000
Pb  0.0000  0.0000  0.5000
Se  0.2316  0.7684  0.0000

=====

Below is crystalline Pd3Pb2Se2 at its relaxed geometry, with properties calculated at the PBE-GGA level.

Values from the calculation:
Energy (eV/atom): -4.5747
Crystal system: monoclinic
V (A^3/atom): 23.138

a = 5.6994 Å, b = 3.8493 Å, c = 7.4529 Å
α = 90.00°, β = 97.87°, γ = 90.00°
Space group P2/m (No. 10)
One atom of each set of equivalent atoms:
Pd  0.0000  0.0000  0.0000
Pd  0.2524  0.5000  0.5071
Pb  0.4649  0.0000  0.2559
Se  0.0358  0.5000  0.7852

=====

Below is crystalline Pd3Pb2Se2 at its relaxed geometry, with properties calculated at the PBE-GGA level.

Values from the calculation:
Energy (eV/atom): -4.6883
Crystal system: cubic
V (A^3/atom): 22.578

a = 8.5825 Å, b = 8.5825 Å, c = 8.5825 Å
α = 90.00°, β = 90.00°, γ = 90.00°
Space group I2_13 (No. 199)
One atom of each set of equivalent atoms:
Pd  0.0000  0.2500  0.9917
Pb  0.2467  0.2467  0.2467
Se  0.0340  0.4660  0.5340

=====

Below is crystalline Pd4PbSe at its relaxed geometry, with properties calculated at the PBE-GGA level.

Values from the calculation:
Energy (eV/atom): -4.8063
Crystal system: triclinic
V (A^3/atom): 18.597

a = 5.4685 Å, b = 5.8931 Å, c = 7.5481 Å
α = 67.06°, β = 85.36°, γ = 89.94°
Space group P-1 (No. 2)
One atom of each set of equivalent atoms:
Pd  0.0845  0.0496  0.1633
Pd  0.0986  0.4769  0.6792
Pd  0.4016  0.6568  0.3207
Pd  0.4144  0.7129  0.8367
Pb  0.2500  0.1539  0.4994
Se  0.0000  0.5000  0.0000
Se  0.5000  0.0000  0.0000

=====

Below is crystalline PdPb3Se at its relaxed geometry, with properties calculated at the PBE-GGA level.

Values from the calculation:
Energy (eV/atom): -3.9478
Crystal system: cubic
V (A^3/atom): 30.657

a = 5.3518 Å, b = 5.3518 Å, c = 5.3518 Å
α = 90.00°, β = 90.00°, γ = 90.00°
Space group Pm-3m (No. 221)
One atom of each set of equivalent atoms:
Pd  0.0000  0.0000  0.0000
Pb  0.0000  0.0000  0.5000
Se  0.5000  0.5000  0.5000